A relaxed YPuGe crystal, computed with GGA-PBE.

Results
Crystal system = cubic
E_tot = -8.75 eV per atom
Energy above the most stable polymorph in this dataset = 0 meV/atom

Structure (extended XYZ):
```
12
Lattice="6.9687 0.0000 0.0000 0.0000 6.9687 0.0000 0.0000 0.0000 6.9687" Properties=species:S:1:pos:R:3 pbc="T T T"
Y 0.0000 0.0000 0.0000
Y 0.0000 3.4844 3.4844
Y 3.4844 0.0000 3.4844
Y 3.4844 3.4844 0.0000
Pu 0.0000 0.0000 3.4844
Pu 0.0000 3.4844 0.0000
Pu 3.4844 0.0000 0.0000
Pu 3.4844 3.4844 3.4844
Ge 1.7422 1.7422 5.2265
Ge 1.7422 5.2265 1.7422
Ge 5.2265 1.7422 1.7422
Ge 5.2265 5.2265 5.2265
```

=====

A relaxed PuZrGe crystal, computed with GGA-PBE.

Results
Crystal system = cubic
E_tot = -8.63 eV per atom

Structure (extended XYZ):
```
12
Lattice="6.7664 0.0000 0.0000 0.0000 6.7664 0.0000 0.0000 0.0000 6.7664" Properties=species:S:1:pos:R:3 pbc="T T T"
Pu 0.0000 0.0000 0.0000
Pu 0.0000 3.3832 3.3832
Pu 3.3832 0.0000 3.3832
Pu 3.3832 3.3832 0.0000
Zr 1.6916 1.6916 1.6916
Zr 1.6916 5.0748 5.0748
Zr 5.0748 1.6916 5.0748
Zr 5.0748 5.0748 1.6916
Ge 1.6916 1.6916 5.0748
Ge 1.6916 5.0748 1.6916
Ge 5.0748 1.6916 1.6916
Ge 5.0748 5.0748 5.0748
```

=====

A relaxed RbReGe crystal, computed with GGA-PBE.

Results
Crystal system = cubic
E_tot = -3.39 eV per atom
Energy above the most stable polymorph in this dataset = 915 meV/atom

Structure (extended XYZ):
```
12
Lattice="7.2651 0.0000 0.0000 0.0000 7.2651 0.0000 0.0000 0.0000 7.2651" Properties=species:S:1:pos:R:3 pbc="T T T"
Rb 0.0000 0.0000 0.0000
Rb 0.0000 3.6325 3.6325
Rb 3.6325 0.0000 3.6325
Rb 3.6325 3.6325 0.0000
Re 1.8163 1.8163 1.8163
Re 1.8163 5.4488 5.4488
Re 5.4488 1.8163 5.4488
Re 5.4488 5.4488 1.8163
Ge 1.8163 1.8163 5.4488
Ge 1.8163 5.4488 1.8163
Ge 5.4488 1.8163 1.8163
Ge 5.4488 5.4488 5.4488
```

=====

What did the second record say?
A relaxed PuZrGe crystal, computed with GGA-PBE.

Results
Crystal system = cubic
E_tot = -8.63 eV per atom

Structure (extended XYZ):
```
12
Lattice="6.7664 0.0000 0.0000 0.0000 6.7664 0.0000 0.0000 0.0000 6.7664" Properties=species:S:1:pos:R:3 pbc="T T T"
Pu 0.0000 0.0000 0.0000
Pu 0.0000 3.3832 3.3832
Pu 3.3832 0.0000 3.3832
Pu 3.3832 3.3832 0.0000
Zr 1.6916 1.6916 1.6916
Zr 1.6916 5.0748 5.0748
Zr 5.0748 1.6916 5.0748
Zr 5.0748 5.0748 1.6916
Ge 1.6916 1.6916 5.0748
Ge 1.6916 5.0748 1.6916
Ge 5.0748 1.6916 1.6916
Ge 5.0748 5.0748 5.0748
```